(1)
The following is a meta-GGA SCAN calculation of a crystal of TiNb2Cr relaxed with PBEsol, from the Alexandria database.

```
TiNb2Cr
1.0
-3.9803 0.8466 1.7871
-3.6150 0.1217 -2.5826
-3.0417 -3.2283 0.2813
Cr Ti Nb
1 1 2
Direct
0.5000 0.5000 0.5000
0.0000 0.0000 0.0000
0.7500 0.7500 0.7500
0.2500 0.2500 0.2500
```



(2)
The following is a meta-GGA SCAN calculation of a crystal of TiNbCr2W relaxed with PBEsol, from the Alexandria database.

```
TiNbCr2W
1.0
-1.0957 4.2562 0.6838
-2.2742 0.0287 -3.8224
-3.9841 -1.4049 2.3599
Nb Cr Ti W
1 2 1 1
Direct
0.0000 0.0000 0.5000
0.5000 0.0000 0.0000
0.0000 0.5000 0.0000
0.5000 0.5000 0.5000
0.0000 0.0000 0.0000
```



(3)
The following is a meta-GGA SCAN calculation of a crystal of NbTlCr3 relaxed with PBEsol, from the Alexandria database.

```
NbTlCr3
1.0
4.8768 0.0000 0.0000
0.0000 4.8768 0.0000
0.0000 0.0000 4.8768
Tl Cr Nb
1 3 1
Direct
0.0000 0.0000 0.0000
0.5000 0.0000 0.0000
0.0000 0.0000 0.5000
0.0000 0.5000 0.0000
0.5000 0.5000 0.5000
```



Number 1: VASP energy -100.2 eV per cell, formation energy from the elements 0.1176 eV per atom, V 62 Å³ per cell. Number 2: VASP energy -149.1 eV per cell, formation energy from the elements 1.3102 eV per atom, V 96 Å³ per cell. Number 3: VASP energy -152.5 eV per cell, formation energy from the elements 1.6228 eV per atom, V 116 Å³ per cell.